Compound: CeNd8Er5
Source: the Alexandria database
Functional: PBE
Structure: optimized geometry

Electronic total energy: -4.587 eV per atom
Spin magnetization: 0.7 μB/cell

```
CeNd8Er5
1.0
6.416 -5.240 0.000
6.416 5.240 0.000
-5.813 0.000 7.032
Ce Nd Er
1 8 5
direct
0.000 0.000 0.000
0.001 0.588 0.763
0.020 0.409 0.252
0.373 0.357 0.048
0.412 0.999 0.237
0.591 0.980 0.748
0.643 0.627 0.952
0.787 0.127 0.281
0.873 0.213 0.719
0.149 0.775 0.285
0.225 0.851 0.715
0.256 0.242 0.583
0.504 0.496 0.500
0.758 0.744 0.417
```